# NpMn2BiO6

A relaxed structure of NpMn2BiO6 (GGA+U, Alexandria via LeMat-Bulk).

Structure (POSCAR):
```
NpMn2BiO6
1.0
2.841 1.641 5.058
-2.841 1.641 5.058
0.000 -3.281 5.058
Np Mn Bi O
1 2 1 6
Cartesian
0.000 0.000 0.000 Np
0.000 0.000 3.205 Mn
0.000 0.000 10.684 Mn
0.000 0.000 7.476 Bi
-2.131 0.175 6.475 O
-0.913 -1.530 9.086 O
0.914 -1.933 6.475 O
-0.869 1.555 9.086 O
1.217 1.758 6.475 O
1.781 -0.025 9.086 O
```

Calculated values
Symmetry: R3 (146)
V (Å³/cell): 141.5
E_tot (eV/cell): -81.19